Crystalline SrCd2P at its relaxed geometry. Source: Alexandria via LeMat-Bulk, functional PBE.

Calculated values
DOS at the Fermi energy ... 16.6 states/eV/cell
Spin magnetization ... 0.0 μB/cell
E ... -2.5013 eV per atom

Structure (CIF):
```
data_SrCd2P
_chemical_formula_sum 'Sr4 Cd8 P4'
_cell_length_a 8.6459
_cell_length_b 8.6459
_cell_length_c 5.8663
_cell_angle_alpha 90.00
_cell_angle_beta 90.00
_cell_angle_gamma 90.00
_symmetry_space_group_name_H-M 'I -4 2 d'
_symmetry_Int_Tables_number 122
_symmetry_space_group_name_Hall 'I -4 2bw'
loop_
_atom_site_label
_atom_site_fract_x
_atom_site_fract_y
_atom_site_fract_z
Sr1 0.0000 0.0000 0.0000
Cd1 0.1777 0.7500 0.6250
P1 0.0000 0.0000 0.5000
```